Record 1
This record from Alexandria via LeMat-Bulk describes Rb2MgGeS4 after structural relaxation. The functional is PBE.

Results
density = 2.7 g/cm³
space-group type = No. 31
magnetization = 0.000 μB/atom
raw formation energy = -0.95 eV per atom

Cell lengths 6.9827, 8.9932, 7.8636 Å; angles 90.00, 90.00, 90.00 degrees
With the nearest neighbours (Å) after each atom.
Element x y z (fractional)
S (0.3404, 0.0638, 0.5000)  1 Ge 2.21
S (0.4486, 0.7103, 0.2633)  1 Ge 2.29, 1 Mg 2.56
S (0.8404, 0.9362, 0.0000)  1 Ge 2.21
S (0.8161, 0.8968, 0.5000)  1 Ge 2.22, 1 Mg 2.41
S (0.9486, 0.2897, 0.2367)  1 Ge 2.29, 1 Mg 2.56
S (0.9486, 0.2897, 0.7633)  1 Ge 2.29, 1 Mg 2.56
S (0.4486, 0.7103, 0.7367)  1 Ge 2.29, 1 Mg 2.56
S (0.3161, 0.1032, 0.0000)  1 Ge 2.22, 1 Mg 2.41
Mg (0.4942, 0.8738, 0.0000)  4 S 2.41-2.56
Mg (0.9942, 0.1262, 0.5000)  4 S 2.41-2.56
Ge (0.0036, 0.1469, 0.0000)  4 S 2.21-2.29
Ge (0.5036, 0.8531, 0.5000)  4 S 2.21-2.29
Rb (0.9742, 0.6650, 0.2403)  4 S 3.12-3.38
Rb (0.4742, 0.3350, 0.2597)  4 S 3.12-3.38
Rb (0.4742, 0.3350, 0.7403)  4 S 3.12-3.38
Rb (0.9742, 0.6650, 0.7597)  4 S 3.12-3.38


Record 2
This record from Alexandria via LeMat-Bulk describes Rb2MgScGe after structural relaxation. The functional is PBE.

Results
density = 2.3 g/cm³
space-group type = No. 123
magnetization = 0.266 μB/atom
final energy = -2.1574 eV/atom

Cell lengths 6.8920, 4.8550, 6.8920 Å; angles 90.00, 90.00, 90.00 degrees
With the nearest neighbours (Å) after each atom.
Element x y z (fractional)
Rb (0.5000, 0.0000, 0.0000)  2 Mg 3.45
Rb (0.0000, 0.0000, 0.5000)  2 Mg 3.45
Sc (0.5000, 0.5000, 0.5000)  8 Rb 4.22
Ge (0.0000, 0.5000, 0.0000)  2 Mg 2.43
Mg (0.0000, 0.0000, 0.0000)  2 Ge 2.43


Record 3
This record from Alexandria via LeMat-Bulk describes Rb2MgGeSe4 after structural relaxation. The functional is PBE.

Results
density = 3.4 g/cm³
space-group type = No. 70
magnetization = 0.000 μB/atom
raw formation energy = -0.95 eV per atom

Cell lengths 6.2435, 7.8065, 13.0468 Å; angles 84.51, 76.16, 66.43 degrees
With the nearest neighbours (Å) after each atom.
Element x y z (fractional)
Ge (0.5000, 0.0000, 0.0000)  4 Se 2.39
Ge (0.2500, 0.5000, 0.5000)  4 Se 2.39
Rb (0.9322, 0.5000, 0.1355)  8 Se 3.70-3.96
Rb (0.5678, 0.5000, 0.8645)  8 Se 3.70-3.96
Rb (0.8178, 0.0000, 0.3645)  8 Se 3.70-3.96
Rb (0.1822, 0.0000, 0.6355)  8 Se 3.70-3.96
Se (0.4307, 0.6962, 0.3951)  1 Ge 2.39, 1 Mg 2.58
Se (0.5220, 0.3038, 0.6049)  1 Ge 2.39, 1 Mg 2.58
Se (0.5758, 0.1962, 0.1049)  1 Ge 2.39, 1 Mg 2.58
Se (0.8731, 0.6962, 0.6049)  1 Ge 2.39, 1 Mg 2.58
Se (0.3193, 0.8038, 0.1049)  1 Ge 2.39, 1 Mg 2.58
Se (0.8769, 0.8038, 0.8951)  1 Ge 2.39, 1 Mg 2.58
Se (0.2280, 0.1962, 0.8951)  1 Ge 2.39, 1 Mg 2.58
Se (0.1742, 0.3038, 0.3951)  1 Ge 2.39, 1 Mg 2.58
Mg (0.0000, 0.0000, 0.0000)  4 Se 2.58
Mg (0.7500, 0.5000, 0.5000)  4 Se 2.58


Record 4
This record from Alexandria via LeMat-Bulk describes RbMgGeSe3 after structural relaxation. The functional is PBE.

Results
density = 3.8 g/cm³
space-group type = No. 11
magnetization = 0.000 μB/atom
raw formation energy = -0.80 eV per atom

Cell lengths 4.5199, 8.2173, 10.1737 Å; angles 101.66, 90.00, 90.00 degrees
With the nearest neighbours (Å) after each atom.
Element x y z (fractional)
Se (0.7500, 0.4413, 0.1654)  1 Ge 2.50, 1 Mg 2.64
Se (0.2500, 0.5587, 0.8346)  1 Ge 2.50, 1 Mg 2.64
Se (0.7500, 0.2388, 0.5874)  2 Ge 2.49
Se (0.2500, 0.1382, 0.8827)  1 Ge 2.43
Se (0.7500, 0.8618, 0.1173)  1 Ge 2.43
Se (0.2500, 0.7612, 0.4126)  2 Ge 2.49
Rb (0.7500, 0.8275, 0.7130)  7 Se 3.55-3.85
Rb (0.2500, 0.1725, 0.2870)  7 Se 3.55-3.85
Mg (0.2500, 0.6444, 0.0987)  3 Se 2.64-2.86
Mg (0.7500, 0.3556, 0.9013)  3 Se 2.64-2.86
Ge (0.2500, 0.2729, 0.6911)  4 Se 2.43-2.50
Ge (0.7500, 0.7271, 0.3089)  4 Se 2.43-2.50


Record 5
This record from Alexandria via LeMat-Bulk describes RbMg2TcGe after structural relaxation. The functional is PBE.

Results
density = 3.6 g/cm³
space-group type = No. 123
magnetization = 0.445 μB/atom
final energy = -3.1849 eV/atom

Cell lengths 5.3088, 4.9596, 5.3088 Å; angles 90.00, 90.00, 90.00 degrees
With the nearest neighbours (Å) after each atom.
Element x y z (fractional)
Ge (0.0000, 0.0000, 0.0000)  2 Tc 2.48, 4 Mg 2.65
Mg (0.5000, 0.0000, 0.0000)  2 Ge 2.65
Mg (0.0000, 0.0000, 0.5000)  2 Ge 2.65
Tc (0.0000, 0.5000, 0.0000)  2 Ge 2.48
Rb (0.5000, 0.5000, 0.5000)  8 Mg 3.63, 4 Tc 3.75


Record 6
This record from Alexandria via LeMat-Bulk describes Rb2MgGeTe4 after structural relaxation. The functional is PBE.

Results
density = 3.7 g/cm³
space-group type = No. 70
magnetization = 0.000 μB/atom
raw formation energy = -0.67 eV per atom

Cell lengths 6.7157, 8.2771, 14.0321 Å; angles 84.43, 76.15, 66.07 degrees
With the nearest neighbours (Å) after each atom.
Element x y z (fractional)
Rb (0.8142, 0.0000, 0.3716)  8 Te 3.92-4.31
Rb (0.5642, 0.5000, 0.8716)  8 Te 3.92-4.31
Rb (0.9358, 0.5000, 0.1284)  8 Te 3.92-4.31
Rb (0.1858, 0.0000, 0.6284)  8 Te 3.92-4.31
Te (0.8830, 0.7966, 0.8919)  1 Ge 2.62, 1 Mg 2.81
Te (0.2252, 0.2034, 0.8919)  1 Ge 2.62, 1 Mg 2.81
Te (0.1786, 0.2966, 0.3919)  1 Ge 2.62, 1 Mg 2.81
Te (0.8670, 0.7034, 0.6081)  1 Ge 2.62, 1 Mg 2.81
Te (0.3204, 0.7966, 0.1081)  1 Ge 2.62, 1 Mg 2.81
Te (0.4296, 0.7034, 0.3919)  1 Ge 2.62, 1 Mg 2.81
Te (0.5714, 0.2034, 0.1081)  1 Ge 2.62, 1 Mg 2.81
Te (0.5248, 0.2966, 0.6081)  1 Ge 2.62, 1 Mg 2.81
Mg (0.7500, 0.5000, 0.5000)  4 Te 2.81
Mg (0.0000, 0.0000, 0.0000)  4 Te 2.81
Ge (0.5000, 0.0000, 0.0000)  4 Te 2.62
Ge (0.2500, 0.5000, 0.5000)  4 Te 2.62


Record 7
This record from Alexandria via LeMat-Bulk describes RbMgGeTe3 after structural relaxation. The functional is PBE.

Results
density = 4.2 g/cm³
space-group type = No. 11
magnetization = 0.000 μB/atom
raw formation energy = -0.54 eV per atom

Cell lengths 4.8250, 9.2809, 10.6503 Å; angles 111.88, 90.00, 90.00 degrees
With the nearest neighbours (Å) after each atom.
Element x y z (fractional)
Mg (0.2500, 0.6460, 0.1106)  3 Te 2.83-3.02
Mg (0.7500, 0.3540, 0.8894)  3 Te 2.83-3.02
Rb (0.2500, 0.2345, 0.2505)  5 Te 3.68-3.84
Rb (0.7500, 0.7655, 0.7495)  5 Te 3.68-3.84
Te (0.7500, 0.2032, 0.5572)  3 Ge 2.74-2.81
Te (0.2500, 0.1042, 0.8636)  1 Ge 2.60
Te (0.2500, 0.5096, 0.8244)  3 Mg 2.83-3.02
Te (0.7500, 0.8958, 0.1364)  1 Ge 2.60
Te (0.2500, 0.7968, 0.4428)  3 Ge 2.74-2.81
Te (0.7500, 0.4904, 0.1756)  3 Mg 2.83-3.02
Ge (0.2500, 0.1084, 0.6210)  4 Te 2.60-2.81
Ge (0.7500, 0.8916, 0.3790)  4 Te 2.60-2.81


Record 8
This record from Alexandria via LeMat-Bulk describes Rb2MgZrGe after structural relaxation. The functional is PBE.

Results
density = 2.7 g/cm³
space-group type = No. 123
magnetization = 0.301 μB/atom
final energy = -2.1215 eV/atom

Cell lengths 6.2248, 5.7933, 6.2248 Å; angles 90.00, 90.00, 90.00 degrees
With the nearest neighbours (Å) after each atom.
Element x y z (fractional)
Rb (0.5000, 0.0000, 0.0000)  2 Mg 3.11
Rb (0.0000, 0.0000, 0.5000)  2 Mg 3.11
Mg (0.0000, 0.0000, 0.0000)  2 Zr 2.90, 4 Rb 3.11
Ge (0.5000, 0.5000, 0.5000)  8 Rb 4.25, 4 Zr 4.40
Zr (0.0000, 0.5000, 0.0000)  2 Mg 2.90